Ca2Cu5As4 | GGA-PBE | relaxed

Geometry as CIF:
```
data_Ca2Cu5As4
_space_group_name_H-M_alt 'F m m m'
_space_group_IT_number 69
_space_group_name_Hall '-F 2 2'
_cell_length_a 5.403
_cell_length_b 10.338
_cell_length_c 14.625
_cell_angle_alpha 90.00
_cell_angle_beta 90.00
_cell_angle_gamma 90.00
loop_
_atom_site_label
_atom_site_type_symbol
_atom_site_fract_x
_atom_site_fract_y
_atom_site_fract_z
_atom_site_occupancy
Ca1 Ca 0.000 0.000 0.147 1
Cu1 Cu 0.000 0.000 0.500 1
Cu2 Cu 0.250 0.250 0.000 1
Cu3 Cu 0.250 0.250 0.250 1
As1 As 0.000 0.147 0.369 1
```

Properties
calculated density	5.67	Mg/m³

=====

NaTl2Te2 | GGA-PBE | relaxed

Geometry as CIF:
```
data_NaTl2Te2
_space_group_name_H-M_alt 'P 4/m b m'
_space_group_IT_number 127
_space_group_name_Hall '-P 4 2ab'
_cell_length_a 8.763
_cell_length_b 8.763
_cell_length_c 4.405
_cell_angle_alpha 90.00
_cell_angle_beta 90.00
_cell_angle_gamma 90.00
loop_
_atom_site_label
_atom_site_type_symbol
_atom_site_fract_x
_atom_site_fract_y
_atom_site_fract_z
_atom_site_occupancy
Na1 Na 0.000 0.000 0.000 1
Tl1 Tl 0.139 0.361 0.500 1
Te1 Te 0.165 0.665 0.000 1
```

Properties
energy above the lowest structure with this stoichiometry	2.5	kJ/mol of atoms
calculated density	6.75	Mg/m³

=====

Tb2PmPr | GGA-PBE | relaxed

Geometry as CIF:
```
data_Tb2PmPr
_space_group_name_H-M_alt 'F m -3 m'
_space_group_IT_number 225
_space_group_name_Hall '-F 4 2 3'
_cell_length_a 8.140
_cell_length_b 8.140
_cell_length_c 8.140
_cell_angle_alpha 90.00
_cell_angle_beta 90.00
_cell_angle_gamma 90.00
loop_
_atom_site_label
_atom_site_type_symbol
_atom_site_fract_x
_atom_site_fract_y
_atom_site_fract_z
_atom_site_occupancy
Tb1 Tb 0.250 0.250 0.250 1
Pm1 Pm 0.000 0.000 0.000 1
Pr1 Pr 0.000 0.000 0.500 1
```

Properties
energy above the lowest structure with this stoichiometry	10.8	kJ/mol of atoms
calculated density	7.43	Mg/m³

=====

Cs2AgI6N | GGA-PBE | relaxed

Geometry as CIF:
```
data_Cs2AgI6N
_space_group_name_H-M_alt 'F m -3 m'
_space_group_IT_number 225
_space_group_name_Hall '-F 4 2 3'
_cell_length_a 11.282
_cell_length_b 11.282
_cell_length_c 11.282
_cell_angle_alpha 90.00
_cell_angle_beta 90.00
_cell_angle_gamma 90.00
loop_
_atom_site_label
_atom_site_type_symbol
_atom_site_fract_x
_atom_site_fract_y
_atom_site_fract_z
_atom_site_occupancy
Cs1 Cs 0.250 0.250 0.250 1
Ag1 Ag 0.000 0.000 0.000 1
I1 I 0.000 0.000 0.264 1
N1 N 0.000 0.000 0.500 1
```

Properties
calculated density	5.31	Mg/m³

=====

Number 1: total DFT energy (no corrections) -183.97 eV/cell, size of the total moment 0.00 μB/atom. Number 2: total DFT energy (no corrections) -28.20 eV/cell, size of the total moment 0.00 μB/atom. Number 3: total DFT energy (no corrections) -73.19 eV/cell, size of the total moment 0.00 μB/atom. Number 4: total DFT energy (no corrections) -97.39 eV/cell, size of the total moment 0.00 μB/atom.